Computed, not measured: a crystal of MoAuN2 relaxed with PBEsol at the SCAN level of DFT.

abc: 5.5160 5.5160 5.5160
angles: 90.00 90.00 90.00
Last column: nearest neighbours and their distance in Å.
Positions (direct):
Mo 0.0000 0.0000 0.0000  8 N 2.39
Mo 0.0000 0.5000 0.5000  8 N 2.39
Mo 0.5000 0.0000 0.5000  8 N 2.39
Mo 0.5000 0.5000 0.0000  8 N 2.39
Au 0.0000 0.0000 0.5000  8 N 2.39
Au 0.0000 0.5000 0.0000  8 N 2.39
Au 0.5000 0.0000 0.0000  8 N 2.39
Au 0.5000 0.5000 0.5000  8 N 2.39
N 0.2500 0.2500 0.2500  4 Mo 2.39, 4 Au 2.39
N 0.2500 0.2500 0.7500  4 Mo 2.39, 4 Au 2.39
N 0.2500 0.7500 0.2500  4 Mo 2.39, 4 Au 2.39
N 0.2500 0.7500 0.7500  4 Mo 2.39, 4 Au 2.39
N 0.7500 0.2500 0.2500  4 Mo 2.39, 4 Au 2.39
N 0.7500 0.2500 0.7500  4 Mo 2.39, 4 Au 2.39
N 0.7500 0.7500 0.2500  4 Mo 2.39, 4 Au 2.39
N 0.7500 0.7500 0.7500  4 Mo 2.39, 4 Au 2.39

- DOS(E_F): 10.21 states/eV/cell
- Formation energy (no corrections): 134.3 kJ per mole of atoms
- Calculated total energy: -29.264 eV per atom
- Magnetization: 4.1 μB per cell
- Space group: Fm-3m

Computed, not measured: a crystal of MoAuN3 relaxed with PBEsol at the SCAN level of DFT.

abc: 3.9064 3.9064 3.9064
angles: 90.00 90.00 90.00
Last column: nearest neighbours and their distance in Å.
Positions (direct):
Mo 0.0000 0.0000 0.0000  12 N 2.76
Au 0.5000 0.5000 0.5000  6 N 1.95
N 0.0000 0.5000 0.5000  2 Au 1.95
N 0.5000 0.0000 0.5000  2 Au 1.95
N 0.5000 0.5000 0.0000  2 Au 1.95

- DOS(E_F): 2.21 states/eV/cell
- Formation energy (no corrections): 216.2 kJ per mole of atoms
- Calculated total energy: -24.143 eV per atom
- Magnetization: 1.1 μB per cell
- Space group: Pm-3m

Computed, not measured: a crystal of Mo3AuN relaxed with PBEsol at the SCAN level of DFT.

abc: 4.0823 4.0823 4.0823
angles: 90.00 90.00 90.00
Last column: nearest neighbours and their distance in Å.
Positions (direct):
Mo 0.0000 0.0000 0.5000  2 N 2.04
Mo 0.0000 0.5000 0.0000  2 N 2.04
Mo 0.5000 0.0000 0.0000  2 N 2.04
Au 0.5000 0.5000 0.5000  12 Mo 2.89
N 0.0000 0.0000 0.0000  6 Mo 2.04

- DOS(E_F): 3.77 states/eV/cell
- Formation energy (no corrections): -10.8 kJ per mole of atoms
- Calculated total energy: -36.733 eV per atom
- Magnetization: 0.0 μB per cell
- Space group: Pm-3m

Computed, not measured: a crystal of MoAuNO2 relaxed with PBEsol at the SCAN level of DFT.

abc: 3.7900 3.7900 4.1137
angles: 90.00 90.00 90.00
Last column: nearest neighbours and their distance in Å.
Positions (direct):
Mo 0.0000 0.0000 0.0000  4 O 1.89, 2 N 2.06
Au 0.5000 0.5000 0.5000  4 N 2.68, 8 O 2.80
N 0.0000 0.0000 0.5000  2 Mo 2.06
O 0.0000 0.5000 0.0000  2 Mo 1.89
O 0.5000 0.0000 0.0000  2 Mo 1.89

- DOS(E_F): 2.48 states/eV/cell
- Formation energy (no corrections): -40.9 kJ per mole of atoms
- Calculated total energy: -25.583 eV per atom
- Magnetization: 0.0 μB per cell
- Space group: P4/mmm

Computed, not measured: a crystal of Na2MoAu relaxed with PBEsol at the SCAN level of DFT.

abc: 6.8656 6.8656 6.8656
angles: 90.00 90.00 90.00
Last column: nearest neighbours and their distance in Å.
Positions (direct):
Na 0.2500 0.2500 0.2500  4 Mo 2.97, 4 Au 2.97
Na 0.2500 0.2500 0.7500  4 Mo 2.97, 4 Au 2.97
Na 0.2500 0.7500 0.2500  4 Mo 2.97, 4 Au 2.97
Na 0.2500 0.7500 0.7500  4 Mo 2.97, 4 Au 2.97
Na 0.7500 0.2500 0.2500  4 Mo 2.97, 4 Au 2.97
Na 0.7500 0.2500 0.7500  4 Mo 2.97, 4 Au 2.97
Na 0.7500 0.7500 0.2500  4 Mo 2.97, 4 Au 2.97
Na 0.7500 0.7500 0.7500  4 Mo 2.97, 4 Au 2.97
Mo 0.0000 0.0000 0.0000  8 Na 2.97
Mo 0.0000 0.5000 0.5000  8 Na 2.97
Mo 0.5000 0.0000 0.5000  8 Na 2.97
Mo 0.5000 0.5000 0.0000  8 Na 2.97
Au 0.0000 0.0000 0.5000  8 Na 2.97
Au 0.0000 0.5000 0.0000  8 Na 2.97
Au 0.5000 0.0000 0.0000  8 Na 2.97
Au 0.5000 0.5000 0.5000  8 Na 2.97

- DOS(E_F): 6.32 states/eV/cell
- Calculated total energy: -27.354 eV per atom
- Magnetization: 18.7 μB per cell
- DFT formation energy: 0.764 eV/atom
- Space group: Fm-3m

Computed, not measured: a crystal of NiMoAu2 relaxed with PBEsol at the SCAN level of DFT.

abc: 2.7330 3.8818 5.6002
angles: 90.00 90.00 90.00
Last column: nearest neighbours and their distance in Å.
Positions (direct):
Ni 0.0000 0.0000 0.0000  2 Ni 2.73, 8 Au 2.74, 2 Mo 2.80
Mo 0.0000 0.0000 0.5000  2 Mo 2.73, 8 Au 2.77, 2 Ni 2.80
Au 0.5000 0.5000 0.2435  4 Au 2.73-2.87, 4 Ni 2.74, 4 Mo 2.77
Au 0.5000 0.5000 0.7565  4 Au 2.73-2.87, 4 Ni 2.74, 4 Mo 2.77

- DOS(E_F): 3.69 states/eV/cell
- Polymorph energy (0 for the lowest one): 0.00 eV/f.u.
- Calculated total energy: -47.102 eV per atom
- Magnetization: 0.0 μB per cell
- DFT formation energy: 0.241 eV/atom
- Space group: Pmmm

Please write out number 4 again, unchanged.
Computed, not measured: a crystal of MoAuNO2 relaxed with PBEsol at the SCAN level of DFT.

abc: 3.7900 3.7900 4.1137
angles: 90.00 90.00 90.00
Last column: nearest neighbours and their distance in Å.
Positions (direct):
Mo 0.0000 0.0000 0.0000  4 O 1.89, 2 N 2.06
Au 0.5000 0.5000 0.5000  4 N 2.68, 8 O 2.80
N 0.0000 0.0000 0.5000  2 Mo 2.06
O 0.0000 0.5000 0.0000  2 Mo 1.89
O 0.5000 0.0000 0.0000  2 Mo 1.89

- DOS(E_F): 2.48 states/eV/cell
- Formation energy (no corrections): -40.9 kJ per mole of atoms
- Calculated total energy: -25.583 eV per atom
- Magnetization: 0.0 μB per cell
- Space group: P4/mmm

Repeat the second record exactly.
Computed, not measured: a crystal of MoAuN3 relaxed with PBEsol at the SCAN level of DFT.

abc: 3.9064 3.9064 3.9064
angles: 90.00 90.00 90.00
Last column: nearest neighbours and their distance in Å.
Positions (direct):
Mo 0.0000 0.0000 0.0000  12 N 2.76
Au 0.5000 0.5000 0.5000  6 N 1.95
N 0.0000 0.5000 0.5000  2 Au 1.95
N 0.5000 0.0000 0.5000  2 Au 1.95
N 0.5000 0.5000 0.0000  2 Au 1.95

- DOS(E_F): 2.21 states/eV/cell
- Formation energy (no corrections): 216.2 kJ per mole of atoms
- Calculated total energy: -24.143 eV per atom
- Magnetization: 1.1 μB per cell
- Space group: Pm-3m